1.
IrO after structural relaxation, computed with PBE.

Calculated values
As for the symmetry: Fm-3m, No. 225. The value obtained for the magnetization is 0.01 μB/cell. The energy relative to the elements, uncorrected is 96.7 kJ/mol of atoms.

a = 4.5439 Å, b = 4.5439 Å, c = 4.5439 Å
α = 90.00°, β = 90.00°, γ = 90.00°
Element x y z (fractional)
1 Ir 0.5000 0.5000 0.5000
2 Ir 0.5000 0.0000 0.0000
3 Ir 0.0000 0.5000 0.0000
4 Ir 0.0000 0.0000 0.5000
5 O 0.0000 0.0000 0.0000
6 O 0.0000 0.5000 0.5000
7 O 0.5000 0.0000 0.5000
8 O 0.5000 0.5000 0.0000



2.
IrO after structural relaxation, computed with PBE.

Calculated values
As for the symmetry: F-43m, No. 216. The value obtained for the magnetization is 0.00 μB/cell. The energy relative to the elements, uncorrected is 65.0 kJ/mol of atoms.

a = 4.7819 Å, b = 4.7819 Å, c = 4.7819 Å
α = 90.00°, β = 90.00°, γ = 90.00°
Element x y z (fractional)
1 Ir 0.0000 0.0000 0.0000
2 Ir 0.0000 0.5000 0.5000
3 Ir 0.5000 0.0000 0.5000
4 Ir 0.5000 0.5000 0.0000
5 O 0.2500 0.2500 0.2500
6 O 0.2500 0.7500 0.7500
7 O 0.7500 0.2500 0.7500
8 O 0.7500 0.7500 0.2500



3.
IrO2 after structural relaxation, computed with PBE.

Calculated values
As for the symmetry: I4_1/amd, No. 141. The value obtained for the magnetization is 0.00 μB/cell. The energy relative to the elements, uncorrected is -49.6 kJ/mol of atoms.

a = 5.6246 Å, b = 5.6246 Å, c = 5.6246 Å
α = 139.12°, β = 139.12°, γ = 59.20°
Element x y z (fractional)
1 Ir 0.7500 0.2500 0.5000
2 Ir 0.0000 0.0000 0.0000
3 O 0.2089 0.2089 0.0000
4 O 0.9589 0.4589 0.5000
5 O 0.7911 0.7911 0.0000
6 O 0.5411 0.0411 0.5000



Question: What is the magnetization in the third record?
Answer: 0.00 μB/cell